Entry 1:
This record from Alexandria via LeMat-Bulk describes a relaxed structure of KNaAg2. The functional is PBE-GGA.

Output
Energy relative to the elements   0.124 eV/atom
Energy above the lowest structure with this stoichiometry   103.8 meV/atom
Fermi-level density of states   0.233 states/eV per atom
Mass density   4.02 g cm⁻³

The structure in CIF format:
```
data_KNaAg2
_cell_length_a 5.432
_cell_length_b 5.432
_cell_length_c 3.891
_cell_angle_alpha 90.00
_cell_angle_beta 90.00
_cell_angle_gamma 90.00
_symmetry_space_group_name_H-M 'P 4/m m m'
_symmetry_Int_Tables_number 123
_symmetry_space_group_name_Hall '-P 4 2'
loop_
_atom_site_label
_atom_site_type_symbol
_atom_site_fract_x
_atom_site_fract_y
_atom_site_fract_z
K1 K 0.000 0.000 0.000
Na1 Na 0.500 0.500 0.000
Ag1 Ag 0.000 0.500 0.500
```



Entry 2:
This record from Alexandria via LeMat-Bulk describes a relaxed structure of Sr2MgSe. The functional is PBE-GGA.

Output
Uncorrected formation energy   -259 kJ/mol of formula units
Energy above the lowest structure with this stoichiometry   221.1 meV/atom
Fermi-level density of states   0.349 states/eV per atom
Mass density   3.08 g cm⁻³

The structure in CIF format:
```
data_Sr2MgSe
_cell_length_a 4.353
_cell_length_b 6.492
_cell_length_c 10.634
_cell_angle_alpha 90.00
_cell_angle_beta 90.00
_cell_angle_gamma 90.00
_symmetry_space_group_name_H-M 'I m m m'
_symmetry_Int_Tables_number 71
_symmetry_space_group_name_Hall '-I 2 2'
loop_
_atom_site_label
_atom_site_type_symbol
_atom_site_fract_x
_atom_site_fract_y
_atom_site_fract_z
Sr1 Sr 0.000 0.000 0.199
Mg1 Mg 0.000 0.500 0.000
Se1 Se 0.000 0.500 0.500
```



Entry 3:
This record from Alexandria via LeMat-Bulk describes a relaxed structure of ReNi6Pt2. The functional is PBE-GGA.

Output
Energy relative to the elements   -0.059 eV/atom
Fermi-level density of states   1.201 states/eV per atom
Mass density   13.82 g cm⁻³

The structure in CIF format:
```
data_ReNi6Pt2
_cell_length_a 8.262
_cell_length_b 3.646
_cell_length_c 7.828
_cell_angle_alpha 90.00
_cell_angle_beta 108.91
_cell_angle_gamma 90.00
_symmetry_space_group_name_H-M 'C 1 2/m 1'
_symmetry_Int_Tables_number 12
loop_
_symmetry_equiv_pos_as_xyz
'x,y,z'
'-x,-y,-z'
'-x,y,-z'
'x,-y,z'
'x+1/2,y+1/2,z'
'-x+1/2,-y+1/2,-z'
'-x+1/2,y+1/2,-z'
'x+1/2,-y+1/2,z'
loop_
_atom_site_label
_atom_site_type_symbol
_atom_site_fract_x
_atom_site_fract_y
_atom_site_fract_z
Re1 Re 0.000 0.000 0.000
Ni1 Ni 0.006 0.000 0.683
Ni2 Ni 0.156 0.500 0.211
Ni3 Ni 0.169 0.500 0.898
Pt1 Pt 0.168 0.500 0.565
```



Repeat the third record exactly.
This record from Alexandria via LeMat-Bulk describes a relaxed structure of ReNi6Pt2. The functional is PBE-GGA.

Output
Energy relative to the elements   -0.059 eV/atom
Fermi-level density of states   1.201 states/eV per atom
Mass density   13.82 g cm⁻³

The structure in CIF format:
```
data_ReNi6Pt2
_cell_length_a 8.262
_cell_length_b 3.646
_cell_length_c 7.828
_cell_angle_alpha 90.00
_cell_angle_beta 108.91
_cell_angle_gamma 90.00
_symmetry_space_group_name_H-M 'C 1 2/m 1'
_symmetry_Int_Tables_number 12
loop_
_symmetry_equiv_pos_as_xyz
'x,y,z'
'-x,-y,-z'
'-x,y,-z'
'x,-y,z'
'x+1/2,y+1/2,z'
'-x+1/2,-y+1/2,-z'
'-x+1/2,y+1/2,-z'
'x+1/2,-y+1/2,z'
loop_
_atom_site_label
_atom_site_type_symbol
_atom_site_fract_x
_atom_site_fract_y
_atom_site_fract_z
Re1 Re 0.000 0.000 0.000
Ni1 Ni 0.006 0.000 0.683
Ni2 Ni 0.156 0.500 0.211
Ni3 Ni 0.169 0.500 0.898
Pt1 Pt 0.168 0.500 0.565
```